[1]
Entry from the Alexandria database: crystalline Ta2PbN at its relaxed geometry (PBE-GGA).

Geometry as POSCAR:
```
Ta2PbN
1.0
0.0008 -2.5230 3.7890
1.9754 1.5786 3.7852
-2.5580 1.2348 3.5573
Pb Ta N
1 2 1
Direct
0.5000 0.5000 0.5000
0.2500 0.2500 0.2500
0.7500 0.7500 0.7500
0.0000 0.0000 0.0000
```

Calculated values
Fermi-level density of states = 2.4 states/eV/f.u.
VASP energy = -7.773 eV per atom
formation energy without anion corrections = 1.16 eV/atom

=====

[2]
Entry from the Alexandria database: crystalline TbAl4Au12 at its relaxed geometry (PBE-GGA).

Geometry as POSCAR:
```
TbAl4Au12
1.0
7.7167 0.0000 0.0000
-2.5722 7.2754 0.0000
-2.5722 -3.6377 6.3006
Au Al Tb
12 4 1
Direct
0.3415 0.1856 0.8441
0.3415 0.4973 0.1559
0.8441 0.3415 0.1856
0.1559 0.3415 0.4974
0.1559 0.6585 0.8144
0.1856 0.8441 0.3415
0.6585 0.5027 0.8441
0.4973 0.1559 0.3415
0.5027 0.8441 0.6585
0.6585 0.8144 0.1559
0.8441 0.6585 0.5027
0.8144 0.1559 0.6585
0.0000 0.5000 0.0000
0.5000 0.5000 0.5000
0.5000 0.0000 0.0000
0.0000 0.0000 0.5000
0.0000 0.0000 0.0000
```

Calculated values
Fermi-level density of states = 6.4 states/eV/f.u.
VASP energy = -3.651 eV per atom

=====

[3]
Entry from the Alexandria database: crystalline Pu3ZrRu4 at its relaxed geometry (PBE-GGA).

Geometry as POSCAR:
```
Pu3ZrRu4
1.0
4.5527 0.0000 -1.2289
-0.3257 4.5469 -1.2065
-0.4066 -0.4756 7.5412
Pu Ru Zr
3 4 1
Direct
0.2521 0.7520 0.5042
0.0000 0.5000 0.0000
0.7479 0.2480 0.4958
0.8792 0.8794 0.7584
0.3792 0.3791 0.7584
0.6208 0.6209 0.2416
0.1208 0.1206 0.2416
0.5000 0.0000 0.0000
```

Calculated values
Fermi-level density of states = 15.8 states/eV/f.u.
VASP energy = -11.313 eV per atom

=====

[4]
Entry from the Alexandria database: crystalline BaMgNi2 at its relaxed geometry (PBE-GGA).

Geometry as POSCAR:
```
BaMgNi2
1.0
-1.3774 -1.6231 4.3789
-3.0517 -3.1430 -2.1250
4.0228 -8.2863 0.9008
Ni Mg Ba
4 2 2
Direct
0.8750 0.6037 0.7500
0.3537 0.1250 0.2500
0.3750 0.6463 0.7500
0.3963 0.6250 0.2500
0.5000 0.5000 0.0000
0.2500 0.7500 0.5000
0.0000 0.0000 0.0000
0.7500 0.2500 0.5000
```

Calculated values
Fermi-level density of states = 3.2 states/eV/f.u.
VASP energy = -3.548 eV per atom